[1]
# GGA-PBE BaH5Au, relaxed
data_BaH5Au
_space_group_name_H-M_alt 'C 1 m 1'
_space_group_IT_number 8
_space_group_name_Hall 'C -2y'
_cell_length_a 8.823
_cell_length_b 4.875
_cell_length_c 5.268
_cell_angle_alpha 90.00
_cell_angle_beta 124.10
_cell_angle_gamma 90.00
loop_
_atom_site_label
_atom_site_type_symbol
_atom_site_fract_x
_atom_site_fract_y
_atom_site_fract_z
Ba1 Ba 0.000 0.000 0.000
H1 H 0.140 0.260 0.621
H2 H 0.334 0.248 0.423
H3 H 0.398 0.000 0.062
Au1 Au 0.482 0.000 0.489
# Magnetic moment ... 0.00 μB per formula unit
# Calculated total energy ... -3.3455 eV per atom
# Mass density ... 6.0 Mg/m³

---

[2]
# GGA-PBE BaH2Au2, relaxed
data_BaH2Au2
_space_group_name_H-M_alt 'P 4/m b m'
_space_group_IT_number 127
_space_group_name_Hall '-P 4 2ab'
_cell_length_a 7.991
_cell_length_b 7.991
_cell_length_c 3.697
_cell_angle_alpha 90.00
_cell_angle_beta 90.00
_cell_angle_gamma 90.00
loop_
_atom_site_label
_atom_site_type_symbol
_atom_site_fract_x
_atom_site_fract_y
_atom_site_fract_z
Ba1 Ba 0.000 0.000 0.000
H1 H 0.137 0.363 0.500
Au1 Au 0.127 0.373 0.000
# Magnetic moment ... 0.00 μB per formula unit
# Calculated total energy ... -3.0187 eV per atom
# Mass density ... 7.5 Mg/m³

---

[3]
# GGA-PBE Ba8H2Au3, relaxed
data_Ba8H2Au3
_space_group_name_H-M_alt 'C 1 2/m 1'
_space_group_IT_number 12
_space_group_name_Hall '-C 2y'
_cell_length_a 15.672
_cell_length_b 9.323
_cell_length_c 8.100
_cell_angle_alpha 90.00
_cell_angle_beta 110.01
_cell_angle_gamma 90.00
loop_
_atom_site_label
_atom_site_type_symbol
_atom_site_fract_x
_atom_site_fract_y
_atom_site_fract_z
Ba1 Ba 0.124 0.235 0.242
Ba2 Ba 0.125 0.500 0.743
Ba3 Ba 0.132 0.000 0.776
H1 H 0.190 0.000 0.132
Au1 Au 0.000 0.236 0.500
Au2 Au 0.000 0.500 0.000
# Magnetic moment ... 0.75 μB per formula unit
# Calculated total energy ... -2.8992 eV per atom
# Mass density ... 5.1 Mg/m³